Record 1
Material: CsGe3F
Method: DFT, PBE
State: optimized geometry

Results
Density of states at the Fermi level ... 3.330 states/eV/cell
Total energy ... -15.72 eV/cell
Uncorrected formation energy ... 172 meV per atom

Cell: 5.0166 5.0166 5.0166 Å, 90.00 90.00 90.00°
With the nearest neighbours (Å) after each atom.
Space group Pm-3m (No. 221)
Inequivalent atoms, fractional coordinates:
Cs (0.0000, 0.0000, 0.0000) x1  12 Ge 3.55
Ge (0.0000, 0.5000, 0.5000) x3  2 F 2.51
F (0.5000, 0.5000, 0.5000) x1  6 Ge 2.51

***

Record 2
Material: CsGe2F
Method: DFT, PBE
State: optimized geometry

Results
Density of states at the Fermi level ... 13.957 states/eV/cell
Total energy ... -42.72 eV/cell
Uncorrected formation energy ... 320 meV per atom

Cell: 7.4505 7.4505 7.4505 Å, 90.00 90.00 90.00°
With the nearest neighbours (Å) after each atom.
Space group Fm-3m (No. 225)
Inequivalent atoms, fractional coordinates:
Cs (0.0000, 0.0000, 0.0000) x4  8 Ge 3.23
Ge (0.2500, 0.2500, 0.2500) x8  4 F 3.23, 4 Cs 3.23
F (0.0000, 0.0000, 0.5000) x4  8 Ge 3.23

***

Record 3
Material: Cs2Ge2F7
Method: DFT, PBE
State: optimized geometry

Results
Density of states at the Fermi level ... 2.954 states/eV/cell
Total energy ... -101.41 eV/cell
Uncorrected formation energy ... -2424 meV per atom

Cell: 9.0060 12.6056 5.2537 Å, 90.00 116.88 90.00°
With the nearest neighbours (Å) after each atom.
Space group C2/m (No. 12)
Inequivalent atoms, fractional coordinates:
Cs (0.0000, 0.1797, 0.0000) x4  6 F 2.94-3.11
Ge (0.1416, 0.5000, 0.2705) x4  3 F 1.85-1.89
F (0.0000, 0.5000, 0.5000) x2  2 Ge 2.11
F (0.1772, 0.0000, 0.3707) x4  1 Ge 1.85
F (0.2321, 0.3772, 0.1858) x8  1 Ge 1.89

***

Record 4
Material: CsGeF4
Method: DFT, PBE
State: optimized geometry

Results
Density of states at the Fermi level ... 2.917 states/eV/cell
Total energy ... -110.39 eV/cell
Uncorrected formation energy ... -2440 meV per atom

Cell: 4.1993 15.7167 6.7683 Å, 90.00 90.00 90.00°
With the nearest neighbours (Å) after each atom.
Space group Cmcm (No. 63)
Inequivalent atoms, fractional coordinates:
Cs (0.0000, 0.1435, 0.2500) x4  6 F 3.00-3.18
Ge (0.0000, 0.4144, 0.2500) x4  2 F 1.86
F (0.0000, 0.0796, 0.7500) x4  2 Ge 2.10
F (0.0000, 0.3289, 0.0599) x8  1 Ge 1.86
F (0.0000, 0.5000, 0.0000) x4  2 Ge 2.16

***

Record 5
Material: Cs2GeF6
Method: DFT, PBE
State: optimized geometry

Results
Density of states at the Fermi level ... 0.000 states/eV/cell
Total energy ... -170.35 eV/cell
Uncorrected formation energy ... -2782 meV per atom

Cell: 9.1561 9.1561 9.1561 Å, 90.00 90.00 90.00°
With the nearest neighbours (Å) after each atom.
Space group Fm-3m (No. 225)
Inequivalent atoms, fractional coordinates:
Cs (0.2500, 0.2500, 0.2500) x8  12 F 3.27
Ge (0.0000, 0.0000, 0.0000) x4  6 F 1.84
F (0.0000, 0.0000, 0.2009) x24  1 Ge 1.84

***

Record 6
Material: Cs3GeF7
Method: DFT, PBE
State: optimized geometry

Results
Density of states at the Fermi level ... 0.000 states/eV/cell
Total energy ... -101.21 eV/cell
Uncorrected formation energy ... -2757 meV per atom

Cell: 8.5649 8.5649 6.3214 Å, 90.00 90.00 90.00°
With the nearest neighbours (Å) after each atom.
Space group P4/mbm (No. 127)
Inequivalent atoms, fractional coordinates:
Cs (0.0000, 0.0000, 0.0000) x2  6 F 3.16-3.25
Cs (0.1950, 0.3050, 0.5000) x4  10 F 3.03-3.27
Ge (0.0000, 0.5000, 0.0000) x2  6 F 1.84
F (0.0000, 0.0000, 0.5000) x2  6 Cs 3.10-3.16
F (0.1064, 0.6064, 0.2075) x8  1 Ge 1.84
F (0.1515, 0.3485, 0.0000) x4  1 Ge 1.84